Record 1
## Cs2LiSnSb (GGA-PBE)

Data for a geometry-optimized Cs2LiSnSb structure.

- DOS(E_F): 0.84 states/eV/f.u.
- ΔE_f (raw): 0.12 eV/atom
- Space-group type: No. 123

Lattice parameters (Å, degrees): 7.496 5.763 7.496 90.00 90.00 90.00
Element x y z (fractional)
Sb 0.000 0.000 0.000
Cs 0.000 0.000 0.500
Cs 0.500 0.000 0.000
Li 0.500 0.500 0.500
Sn 0.000 0.500 0.000

Record 2
## YErMgAu (GGA-PBE)

Data for a geometry-optimized YErMgAu structure.

- DOS(E_F): 4.13 states/eV/f.u.
- Space-group type: No. 216
- Energy relative to the lowest polymorph listed for this composition: 58 meV/atom

Lattice parameters (Å, degrees): 5.178 5.178 5.178 60.00 60.00 60.00
Element x y z (fractional)
Au 0.000 0.000 0.000
Y 0.750 0.750 0.750
Mg 0.500 0.500 0.500
Er 0.250 0.250 0.250

Record 3
## La4Nd3Er (GGA-PBE)

Data for a geometry-optimized La4Nd3Er structure.

- DOS(E_F): 18.17 states/eV/f.u.
- Space-group type: No. 65
- Energy relative to the lowest polymorph listed for this composition: 138 meV/atom

Lattice parameters (Å, degrees): 5.998 7.689 7.689 126.13 90.00 90.00
Element x y z (fractional)
Nd 0.500 0.500 0.500
Nd 0.000 0.500 0.000
Nd 0.000 0.000 0.500
La 0.500 0.247 0.753
La 0.500 0.753 0.247
La 0.000 0.750 0.750
La 0.000 0.250 0.250
Er 0.500 0.000 0.000

Record 4
## CaIrC3 (GGA-PBE)

Data for a geometry-optimized CaIrC3 structure.

- DOS(E_F): 3.88 states/eV/f.u.
- Space-group type: No. 221
- Energy relative to the lowest polymorph listed for this composition: 0 meV/atom

Lattice parameters (Å, degrees): 4.031 4.031 4.031 90.00 90.00 90.00
Element x y z (fractional)
Ir 0.000 0.000 0.000
C 0.000 0.500 0.000
C 0.000 0.000 0.500
C 0.500 0.000 0.000
Ca 0.500 0.500 0.500